Here is an optimized crystal structure of CrCu2Bi2O6 from the Alexandria database. Energies are from GGA+U.

Cell lengths 5.908, 5.908, 6.121 Å; angles 61.15, 61.15, 60.00 degrees
Element x y z (fractional)
O (0.795, 0.236, 0.734)
O (0.764, 0.764, 0.266)
Cu (0.585, 0.585, 0.246)
Cu (0.415, 0.415, 0.754)
Cr (0.000, 0.000, 0.000)
Bi (0.196, 0.196, 0.412)
O (0.205, 0.764, 0.266)
O (0.764, 0.205, 0.266)
O (0.236, 0.236, 0.734)
O (0.236, 0.795, 0.734)
Bi (0.804, 0.804, 0.588)

- DFT total energy (eV/atom) = -5.799